No. 1
Density functional theory data (PBE) for crystalline Ti2ZnHg at its relaxed geometry.

## Properties
ΔE_f   -0.06 eV/atom
Relative energy among the computed polymorphs   0.12 eV/f.u.
Total magnetic moment   0.0 μB/f.u.
Energy   -17.6 eV per formula unit

a b c (Å): 3.233 3.233 6.598
angles (deg): 90.00 90.00 90.00
Atoms (fractional coordinates):
Hg 0.500 0.500 0.500
Zn 0.500 0.500 0.000
Ti 0.000 0.000 0.770
Ti 0.000 0.000 0.230

No. 2
Density functional theory data (PBE) for crystalline HfMgZrCd at its relaxed geometry.

## Properties
ΔE_f   -0.07 eV/atom
Total magnetic moment   0.0 μB/f.u.
Energy   -21.3 eV per formula unit

a b c (Å): 3.078 3.078 9.395
angles (deg): 90.00 90.00 90.00
Atoms (fractional coordinates):
Mg 0.500 0.500 0.827
Cd 0.000 0.000 0.069
Hf 0.000 0.000 0.562
Zr 0.500 0.500 0.327

No. 3
Density functional theory data (PBE) for crystalline Al2InSe at its relaxed geometry.

## Properties
Relative energy among the computed polymorphs   0.46 eV/f.u.
Uncorrected formation energy   0.015 eV per atom
Total magnetic moment   0.0 μB/f.u.
Energy   -13.6 eV per formula unit

a b c (Å): 3.434 3.435 7.063
angles (deg): 90.00 90.00 90.00
Atoms (fractional coordinates):
In 0.500 0.500 0.250
Al 0.000 0.000 0.538
Se 0.500 0.500 0.750
Al 0.000 0.000 0.962